# 1
# Ca5Al3 | Alexandria | meta-GGA SCAN | PBEsol geometry
data_Ca5Al3
_chemical_formula_sum 'Ca10 Al6'
_cell_length_a 7.925
_cell_length_b 10.602
_cell_length_c 5.246
_cell_angle_alpha 90.00
_cell_angle_beta 90.00
_cell_angle_gamma 90.00
_space_group_name_H-M_alt 'C m m m'
_space_group_IT_number 65
_space_group_name_Hall '-C 2 2'
loop_
_atom_site_label
_atom_site_type_symbol
_atom_site_fract_x
_atom_site_fract_y
_atom_site_fract_z
Ca1 Ca 0.000 0.000 0.000
Ca2 Ca 0.220 0.500 0.500
Ca3 Ca 0.250 0.250 0.000
Al1 Al 0.000 0.231 0.500
Al2 Al 0.000 0.500 0.000
# E above lowest polymorph, meV/atom: 18
# Energy relative to the elements, eV/atom: -0.10
# Density, g/cm3: 2.1

---

# 2
# NiRh2 | Alexandria | meta-GGA SCAN | PBEsol geometry
data_NiRh2
_chemical_formula_sum 'Ni2 Rh4'
_cell_length_a 2.652
_cell_length_b 3.639
_cell_length_c 7.786
_cell_angle_alpha 90.00
_cell_angle_beta 90.00
_cell_angle_gamma 90.00
_space_group_name_H-M_alt 'I m m m'
_space_group_IT_number 71
_space_group_name_Hall '-I 2 2'
loop_
_atom_site_label
_atom_site_type_symbol
_atom_site_fract_x
_atom_site_fract_y
_atom_site_fract_z
Ni1 Ni 0.000 0.000 0.000
Rh1 Rh 0.000 0.000 0.335
# E above lowest polymorph, meV/atom: 8
# Energy relative to the elements, eV/atom: 0.05
# Density, g/cm3: 11.7

---

# 3
# TiAl2Mo2 | Alexandria | meta-GGA SCAN | PBEsol geometry
data_TiAl2Mo2
_chemical_formula_sum 'Ti2 Al4 Mo4'
_cell_length_a 6.721
_cell_length_b 6.721
_cell_length_c 3.367
_cell_angle_alpha 90.00
_cell_angle_beta 90.00
_cell_angle_gamma 90.00
_space_group_name_H-M_alt 'P 4/m b m'
_space_group_IT_number 127
_space_group_name_Hall '-P 4 2ab'
loop_
_atom_site_label
_atom_site_type_symbol
_atom_site_fract_x
_atom_site_fract_y
_atom_site_fract_z
Ti1 Ti 0.000 0.000 0.000
Al1 Al 0.128 0.372 0.000
Mo1 Mo 0.172 0.672 0.500
# Energy relative to the elements, eV/atom: -0.29
# Density, g/cm3: 6.4

---

In order of appearance, total energy = -9.05 -27.86 -20.55 eV/atom.